## RbPr2AgBr8 (PBE-GGA)

Data for RbPr2AgBr8 after structural relaxation.

Properties
Crystal system: monoclinic
M_tot (μB per cell): 0.0
E_tot (eV per atom): -3.793
Symmetry: P2/m, No. 10

Unit cell a=7.338 b=7.205 c=9.054 alpha=90.02 beta=89.98 gamma=83.13
Fractional positions:
Br: 0.839 0.255 0.785
Br: 0.161 0.745 0.215
Br: 0.839 0.254 0.214
Br: 0.628 0.712 0.500
Br: 0.361 0.278 0.000
Br: 0.639 0.722 0.000
Br: 0.372 0.288 0.500
Br: 0.161 0.746 0.786
Rb: 0.000 0.000 0.500
Pr: 0.500 0.500 0.241
Pr: 0.500 0.500 0.759
Ag: 0.000 0.000 0.000

## Rb2PrAgBr6 (PBE-GGA)

Data for Rb2PrAgBr6 after structural relaxation.

Properties
Crystal system: cubic
M_tot (μB per cell): 0.0
ΔE to the lowest computed polymorph (eV/atom): 0.026
E_tot (eV per atom): -3.469
Symmetry: Fm-3m, No. 225

Unit cell a=8.148 b=8.148 c=8.148 alpha=60.00 beta=60.00 gamma=60.00
Fractional positions:
Br: 0.752 0.752 0.248
Br: 0.248 0.752 0.752
Br: 0.752 0.248 0.752
Br: 0.248 0.248 0.752
Br: 0.752 0.248 0.248
Br: 0.248 0.752 0.248
Rb: 0.750 0.750 0.750
Rb: 0.250 0.250 0.250
Ag: 0.000 0.000 0.000
Pr: 0.500 0.500 0.500

## RbPrAg2Br8 (PBE-GGA)

Data for RbPrAg2Br8 after structural relaxation.

Properties
Crystal system: tetragonal
M_tot (μB per cell): 0.0
E_tot (eV per atom): -3.013
Symmetry: I-4, No. 82

Unit cell a=7.259 b=7.259 c=9.406 alpha=112.70 beta=112.70 gamma=90.00
Fractional positions:
Br: 0.359 0.978 0.379
Br: 0.600 0.641 0.621
Br: 0.022 0.980 0.621
Br: 0.461 0.303 0.181
Br: 0.122 0.539 0.819
Br: 0.020 0.400 0.379
Br: 0.697 0.281 0.819
Br: 0.719 0.878 0.181
Rb: 0.000 0.000 0.000
Ag: 0.250 0.750 0.500
Ag: 0.500 0.500 0.000
Pr: 0.750 0.250 0.500

## RbPrAgBr5 (PBE-GGA)

Data for RbPrAgBr5 after structural relaxation.

Properties
Crystal system: monoclinic
M_tot (μB per cell): 0.0
E_tot (eV per atom): -3.586
Symmetry: C2/c, No. 15

Unit cell a=8.177 b=8.177 c=10.991 alpha=102.61 beta=102.61 gamma=108.55
Fractional positions:
Rb: 0.350 0.650 0.250
Rb: 0.650 0.350 0.750
Ag: 0.688 0.312 0.250
Ag: 0.312 0.688 0.750
Br: 0.919 0.081 0.750
Br: 0.687 0.086 0.397
Br: 0.747 0.626 0.438
Br: 0.081 0.919 0.250
Br: 0.914 0.313 0.103
Br: 0.626 0.747 0.938
Br: 0.313 0.914 0.603
Br: 0.253 0.374 0.562
Br: 0.086 0.687 0.897
Br: 0.374 0.253 0.062
Pr: 0.000 0.000 0.500
Pr: 0.000 0.000 0.000

## Pr8AgRh3Br4 (PBE-GGA)

Data for Pr8AgRh3Br4 after structural relaxation.

Properties
Crystal system: monoclinic
M_tot (μB per cell): 0.0
E_tot (eV per atom): -5.319
Symmetry: C2/m, No. 12

Unit cell a=8.430 b=9.246 c=8.428 alpha=117.16 beta=120.01 gamma=90.00
Fractional positions:
Pr: 0.733 0.698 0.466
Pr: 0.242 0.700 0.959
Pr: 0.241 0.700 0.483
Pr: 0.758 0.300 0.041
Pr: 0.267 0.302 0.534
Pr: 0.283 0.300 0.041
Pr: 0.717 0.700 0.959
Pr: 0.759 0.300 0.517
Br: 0.000 0.000 0.000
Br: 0.500 0.000 0.500
Br: 0.000 0.000 0.500
Br: 0.500 0.000 0.000
Ag: 0.000 0.500 0.000
Rh: 0.500 0.500 0.000
Rh: 0.000 0.500 0.500
Rh: 0.500 0.500 0.500

## Pr8AgRu3Br4 (PBE-GGA)

Data for Pr8AgRu3Br4 after structural relaxation.

Properties
Crystal system: trigonal
M_tot (μB per cell): 0.0
E_tot (eV per atom): -5.497
Symmetry: R-3m, No. 166

Unit cell a=8.352 b=9.277 c=8.353 alpha=116.76 beta=120.00 gamma=90.00
Fractional positions:
Pr: 0.244 0.699 0.955
Pr: 0.266 0.299 0.533
Pr: 0.712 0.699 0.955
Pr: 0.288 0.301 0.045
Pr: 0.756 0.301 0.045
Pr: 0.244 0.699 0.488
Pr: 0.756 0.301 0.512
Pr: 0.734 0.701 0.467
Br: 0.500 0.000 0.500
Br: 0.000 0.000 0.000
Br: 0.500 0.000 0.000
Br: 0.000 0.000 0.500
Ru: 0.500 0.500 0.000
Ru: 0.500 0.500 0.500
Ru: 0.000 0.500 0.500
Ag: 0.000 0.500 0.000

## Pr8Si3AgBr4 (PBE-GGA)

Data for Pr8Si3AgBr4 after structural relaxation.

Properties
Crystal system: trigonal
M_tot (μB per cell): 0.0
E_tot (eV per atom): -4.967
Symmetry: R-3m, No. 166

Unit cell a=8.652 b=8.818 c=8.652 alpha=119.38 beta=120.00 gamma=90.00
Fractional positions:
Pr: 0.752 0.277 0.024
Pr: 0.728 0.723 0.976
Pr: 0.248 0.723 0.495
Pr: 0.738 0.714 0.476
Pr: 0.272 0.277 0.024
Pr: 0.262 0.286 0.524
Pr: 0.248 0.723 0.976
Pr: 0.752 0.277 0.505
Br: 0.500 0.000 0.500
Br: 0.000 0.000 0.500
Br: 0.000 0.000 0.000
Br: 0.500 0.000 0.000
Ag: 0.000 0.500 0.000
Si: 0.000 0.500 0.500
Si: 0.500 0.500 0.500
Si: 0.500 0.500 0.000

## Pr4SiAgBr2 (PBE-GGA)

Data for Pr4SiAgBr2 after structural relaxation.

Properties
Crystal system: monoclinic
M_tot (μB per cell): 0.0
E_tot (eV per atom): -4.687
Symmetry: P2/m, No. 10

Unit cell a=4.288 b=7.699 c=7.510 alpha=108.25 beta=90.00 gamma=90.00
Fractional positions:
Si: 0.500 0.500 0.000
Pr: 0.000 0.271 0.775
Pr: 0.500 0.745 0.767
Pr: 0.000 0.729 0.225
Pr: 0.500 0.255 0.233
Br: 0.000 0.500 0.500
Br: 0.500 0.000 0.500
Ag: 0.000 0.000 0.000

## PrSmAgBr (PBE-GGA)

Data for PrSmAgBr after structural relaxation.

Properties
Crystal system: cubic
M_tot (μB per cell): 0.0
E_tot (eV per atom): -3.991
Symmetry: F-43m, No. 216

Unit cell a=5.323 b=5.323 c=5.323 alpha=60.00 beta=60.00 gamma=60.00
Fractional positions:
Ag: 0.750 0.750 0.750
Br: 0.250 0.250 0.250
Sm: 0.500 0.500 0.500
Pr: 0.000 0.000 0.000

## PrTl2AgBr6 (PBE-GGA)

Data for PrTl2AgBr6 after structural relaxation.

Properties
Crystal system: monoclinic
M_tot (μB per cell): 0.0
E_tot (eV per atom): -3.399
Symmetry: P2_1/c, No. 14

Unit cell a=7.734 b=8.203 c=10.989 alpha=90.00 beta=88.98 gamma=90.00
Fractional positions:
Br: 0.690 0.300 0.554
Br: 0.193 0.194 0.447
Br: 0.307 0.694 0.053
Br: 0.693 0.306 0.947
Br: 0.190 0.200 0.054
Br: 0.310 0.700 0.446
Br: 0.111 0.473 0.744
Br: 0.807 0.806 0.553
Br: 0.810 0.800 0.946
Br: 0.889 0.527 0.256
Br: 0.389 0.973 0.756
Br: 0.611 0.027 0.244
Pr: 0.000 0.500 0.000
Pr: 0.500 0.000 0.500
Tl: 0.471 0.418 0.244
Tl: 0.029 0.918 0.256
Tl: 0.529 0.582 0.756
Tl: 0.971 0.082 0.744
Ag: 0.500 0.000 0.000
Ag: 0.000 0.500 0.500

## PrTlAgBr6 (PBE-GGA)

Data for PrTlAgBr6 after structural relaxation.

Properties
Crystal system: trigonal
M_tot (μB per cell): 0.0
E_tot (eV per atom): -3.294
Symmetry: P-31c, No. 163

Unit cell a=7.311 b=7.311 c=13.997 alpha=90.00 beta=90.00 gamma=120.00
Fractional positions:
Br: 0.013 0.651 0.868
Br: 0.638 0.987 0.868
Br: 0.987 0.638 0.368
Br: 0.013 0.362 0.632
Br: 0.349 0.362 0.868
Br: 0.987 0.349 0.132
Br: 0.638 0.651 0.632
Br: 0.362 0.013 0.132
Br: 0.349 0.987 0.632
Br: 0.362 0.349 0.368
Br: 0.651 0.638 0.132
Br: 0.651 0.013 0.368
Ag: 0.333 0.667 0.750
Ag: 0.667 0.333 0.250
Tl: 0.000 0.000 0.500
Tl: 0.000 0.000 0.000
Pr: 0.333 0.667 0.250
Pr: 0.667 0.333 0.750

## AgPtBr2 (PBE-GGA)

Data for AgPtBr2 after structural relaxation.

Properties
Crystal system: orthorhombic
M_tot (μB per cell): 0.0
ΔE to the lowest computed polymorph (eV/atom): 0.158
E_tot (eV per atom): -2.847
Symmetry: Cmmm, No. 65

Unit cell a=4.123 b=4.123 c=7.765 alpha=90.00 beta=90.00 gamma=126.65
Fractional positions:
Pt: 0.500 0.500 0.250
Br: 0.000 0.000 0.474
Br: 0.000 0.000 0.026
Ag: 0.500 0.500 0.750

## AgPtBr6 (PBE-GGA)

Data for AgPtBr6 after structural relaxation.

Properties
Crystal system: monoclinic
M_tot (μB per cell): 0.0
ΔE to the lowest computed polymorph (eV/atom): 0.000
E_tot (eV per atom): -2.571
Symmetry: C2/m, No. 12

Unit cell a=7.537 b=7.051 c=6.641 alpha=103.61 beta=106.92 gamma=121.38
Fractional positions:
Pt: 0.500 0.000 0.000
Br: 0.891 0.154 0.314
Br: 0.109 0.846 0.686
Br: 0.577 0.840 0.686
Br: 0.294 0.584 0.000
Br: 0.423 0.160 0.314
Br: 0.706 0.416 0.000
Ag: 0.000 0.000 0.000

## Ag3PtBr6 (PBE-GGA)

Data for Ag3PtBr6 after structural relaxation.

Properties
Crystal system: monoclinic
M_tot (μB per cell): 2.0
E_tot (eV per atom): -2.697
Symmetry: P2_1/c, No. 14

Unit cell a=7.550 b=6.905 c=10.436 alpha=90.00 beta=89.02 gamma=90.00
Site moments in Bohr magnetons follow the coordinates.
Fractional positions:
Ag: 0.500 0.500 0.000  0.05
Ag: 0.000 0.000 0.500  0.05
Ag: 0.962 0.501 0.281  0.02
Ag: 0.538 0.001 0.219  0.02
Ag: 0.462 0.999 0.781  0.02
Ag: 0.038 0.499 0.719  0.02
Br: 0.861 0.698 0.913  0.02
Br: 0.601 0.396 0.279  0.02
Br: 0.326 0.820 0.042  0.12
Br: 0.399 0.604 0.721  0.02
Br: 0.899 0.896 0.221  0.02
Br: 0.139 0.302 0.087  0.02
Br: 0.826 0.680 0.542  0.12
Br: 0.639 0.198 0.587  0.02
Br: 0.361 0.802 0.413  0.02
Br: 0.674 0.180 0.958  0.12
Br: 0.174 0.320 0.458  0.12
Br: 0.101 0.104 0.779  0.02
Pt: 0.500 0.500 0.500  0.45
Pt: 0.000 0.000 0.000  0.45

## Ag3PtBr (PBE-GGA)

Data for Ag3PtBr after structural relaxation.

Properties
Crystal system: cubic
M_tot (μB per cell): 0.0
ΔE to the lowest computed polymorph (eV/atom): 0.000
E_tot (eV per atom): -2.687
Symmetry: Pm-3m, No. 221

Unit cell a=5.169 b=5.169 c=5.169 alpha=90.00 beta=90.00 gamma=90.00
Fractional positions:
Ag: 0.500 0.000 0.000
Ag: 0.000 0.000 0.500
Ag: 0.000 0.500 0.000
Br: 0.500 0.500 0.500
Pt: 0.000 0.000 0.000

## AgPtBr2 (PBE-GGA)

Data for AgPtBr2 after structural relaxation.

Properties
Crystal system: tetragonal
M_tot (μB per cell): 0.3
ΔE to the lowest computed polymorph (eV/atom): 0.203
E_tot (eV per atom): -2.802
Symmetry: P4mm, No. 99

Unit cell a=3.699 b=3.699 c=7.208 alpha=90.00 beta=90.00 gamma=90.00
Site moments in Bohr magnetons follow the coordinates.
Fractional positions:
Ag: 0.500 0.500 0.700  0.04
Pt: 0.000 0.000 0.564  0.20
Br: 0.500 0.500 0.327  0.07
Br: 0.000 0.000 0.909  0.02

## AgPtBr2 (PBE-GGA)

Data for AgPtBr2 after structural relaxation.

Properties
Crystal system: monoclinic
M_tot (μB per cell): 0.0
ΔE to the lowest computed polymorph (eV/atom): 0.116
E_tot (eV per atom): -2.889
Symmetry: P2/m, No. 10

Unit cell a=3.736 b=5.297 c=5.240 alpha=84.32 beta=90.00 gamma=90.00
Fractional positions:
Ag: 0.500 0.750 0.750
Pt: 0.500 0.250 0.250
Br: 0.000 0.030 0.031
Br: 0.000 0.470 0.469

## Ag2PtBr8 (PBE-GGA)

Data for Ag2PtBr8 after structural relaxation.

Properties
Crystal system: monoclinic
M_tot (μB per cell): 0.0
ΔE to the lowest computed polymorph (eV/atom): 0.106
E_tot (eV per atom): -2.396
Symmetry: C2/m, No. 12

Unit cell a=7.275 b=7.609 c=8.075 alpha=96.44 beta=90.00 gamma=118.56
Fractional positions:
Br: 0.946 0.891 0.294
Br: 0.111 0.746 0.897
Br: 0.054 0.109 0.706
Br: 0.365 0.254 0.103
Br: 0.319 0.638 0.527
Br: 0.681 0.362 0.473
Br: 0.889 0.254 0.103
Br: 0.635 0.746 0.897
Ag: 0.859 0.718 0.607
Ag: 0.141 0.282 0.393
Pt: 0.000 0.000 0.000

## Ag2Pt2Br (PBE-GGA)

Data for Ag2Pt2Br after structural relaxation.

Properties
Crystal system: tetragonal
M_tot (μB per cell): 0.0
ΔE to the lowest computed polymorph (eV/atom): 0.000
E_tot (eV per atom): -3.700
Symmetry: I4/mmm, No. 139

Unit cell a=3.684 b=3.684 c=8.095 alpha=76.85 beta=76.85 gamma=90.00
Fractional positions:
Ag: 0.396 0.396 0.208
Ag: 0.604 0.604 0.792
Br: 0.000 0.000 0.000
Pt: 0.250 0.750 0.500
Pt: 0.750 0.250 0.500

## AgPtBr4 (PBE-GGA)

Data for AgPtBr4 after structural relaxation.

Properties
Crystal system: orthorhombic
M_tot (μB per cell): 0.1
E_tot (eV per atom): -2.798
Symmetry: Pmmm, No. 47

Unit cell a=7.476 b=7.489 c=8.247 alpha=90.00 beta=90.00 gamma=90.00
Fractional positions:
Br: 0.231 0.270 0.000
Br: 0.769 0.730 0.000
Br: 0.769 0.270 0.000
Br: 0.231 0.770 0.500
Br: 0.231 0.230 0.500
Br: 0.769 0.770 0.500
Br: 0.231 0.730 0.000
Br: 0.769 0.230 0.500
Ag: 0.000 0.000 0.000
Ag: 0.500 0.000 0.500
Pt: 0.000 0.500 0.000
Pt: 0.000 0.000 0.500